[1]
! Tb2Er4Sc5 | Alexandria | GGA-PBE | optimized geometry; values from VASP
&SYSTEM
  ibrav = 0, nat = 11, ntyp = 3
/
ATOMIC_SPECIES
Tb 158.93 Tb.upf
Er 167.26 Er.upf
Sc 44.96 Sc.upf
CELL_PARAMETERS angstrom
8.6300 0.0000 0.0000
0.0000 3.4397 0.0000
-3.6290 0.0000 10.5914
ATOMIC_POSITIONS crystal
Tb 0.1332 0.0000 0.4072
Tb 0.8668 0.0000 0.5928
Er 0.2426 0.5000 0.7200
Er 0.2546 0.5000 0.1524
Er 0.7454 0.5000 0.8476
Er 0.7574 0.5000 0.2800
Sc 0.0889 0.0000 0.8977
Sc 0.4963 0.0000 0.6301
Sc 0.5000 0.0000 0.0000
Sc 0.5037 0.0000 0.3699
Sc 0.9111 0.0000 0.1023
! - VASP energy: -57.76 eV per formula unit
! - ΔE_f: 1.4 eV/f.u.
! - Energy above the most stable polymorph in this dataset: 0.000 eV per formula unit
! - Space group: P2/m

[2]
! Tb12ErSc2 | Alexandria | GGA-PBE | optimized geometry; values from VASP
&SYSTEM
  ibrav = 0, nat = 30, ntyp = 3
/
ATOMIC_SPECIES
Tb 158.93 Tb.upf
Er 167.26 Er.upf
Sc 44.96 Sc.upf
CELL_PARAMETERS angstrom
6.2960 0.0000 0.0000
0.0000 6.2960 0.0000
0.0000 0.0000 25.1094
ATOMIC_POSITIONS crystal
Tb 0.0661 0.5661 0.1151
Tb 0.0661 0.9339 0.8849
Tb 0.0806 0.5806 0.4386
Tb 0.0806 0.9194 0.5614
Tb 0.2500 0.2500 0.2163
Tb 0.2500 0.2500 0.3373
Tb 0.2500 0.2500 0.6627
Tb 0.2500 0.2500 0.7837
Tb 0.4194 0.5806 0.5614
Tb 0.4194 0.9194 0.4386
Tb 0.4339 0.5661 0.8849
Tb 0.4339 0.9339 0.1151
Tb 0.5661 0.0661 0.8849
Tb 0.5661 0.4339 0.1151
Tb 0.5806 0.0806 0.5614
Tb 0.5806 0.4194 0.4386
Tb 0.7500 0.7500 0.2163
Tb 0.7500 0.7500 0.3373
Tb 0.7500 0.7500 0.6627
Tb 0.7500 0.7500 0.7837
Tb 0.9194 0.0806 0.4386
Tb 0.9194 0.4194 0.5614
Tb 0.9339 0.0661 0.1151
Tb 0.9339 0.4339 0.8849
Er 0.2500 0.7500 0.0000
Er 0.7500 0.2500 0.0000
Sc 0.2500 0.7500 0.2738
Sc 0.2500 0.7500 0.7262
Sc 0.7500 0.2500 0.2738
Sc 0.7500 0.2500 0.7262
! - VASP energy: -67.24 eV per formula unit
! - ΔE_f: 5.5 eV/f.u.
! - Space group: P4/nbm

[3]
! TbEr4Sc3 | Alexandria | GGA-PBE | optimized geometry; values from VASP
&SYSTEM
  ibrav = 0, nat = 16, ntyp = 3
/
ATOMIC_SPECIES
Tb 158.93 Tb.upf
Er 167.26 Er.upf
Sc 44.96 Sc.upf
CELL_PARAMETERS angstrom
10.8414 0.0000 0.0000
0.0000 6.9895 0.0000
0.0000 0.0000 6.0353
ATOMIC_POSITIONS crystal
Tb 0.0000 0.1189 0.0000
Tb 0.5000 0.8811 0.5000
Er 0.0000 0.3694 0.4963
Er 0.0000 0.6297 0.9902
Er 0.2461 0.6304 0.3333
Er 0.2539 0.3696 0.8333
Er 0.5000 0.3703 0.4902
Er 0.5000 0.6306 0.9963
Er 0.7461 0.3696 0.8333
Er 0.7539 0.6304 0.3333
Sc 0.0000 0.8785 0.5004
Sc 0.2492 0.1205 0.3292
Sc 0.2508 0.8795 0.8292
Sc 0.5000 0.1215 0.0004
Sc 0.7492 0.8795 0.8292
Sc 0.7508 0.1205 0.3292
! - VASP energy: -41.72 eV per formula unit
! - ΔE_f: 0.2 eV/f.u.
! - Energy above the most stable polymorph in this dataset: 0.000 eV per formula unit
! - Space group: Pmn2_1

[4]
! TbEr2Sc | Alexandria | GGA-PBE | optimized geometry; values from VASP
&SYSTEM
  ibrav = 0, nat = 4, ntyp = 3
/
ATOMIC_SPECIES
Tb 158.93 Tb.upf
Er 167.26 Er.upf
Sc 44.96 Sc.upf
CELL_PARAMETERS angstrom
1.7358 1.0022 11.2266
-1.7358 1.0022 11.2266
0.0000 -2.0043 11.2266
ATOMIC_POSITIONS crystal
Tb 0.0000 0.0000 0.0000
Er 0.2468 0.2468 0.2468
Er 0.7532 0.7532 0.7532
Sc 0.5000 0.5000 0.5000
! - VASP energy: -19.91 eV per formula unit
! - ΔE_f: 0.2 eV/f.u.
! - Energy above the most stable polymorph in this dataset: 0.110 eV per formula unit
! - Space group: R-3m

Question: What is the formula in the first record?
Answer: Tb2Er4Sc5

Question: Which formula does entry 1 have?
Answer: Tb2Er4Sc5

Please write out number 1 again, unchanged.
! Tb2Er4Sc5 | Alexandria | GGA-PBE | optimized geometry; values from VASP
&SYSTEM
  ibrav = 0, nat = 11, ntyp = 3
/
ATOMIC_SPECIES
Tb 158.93 Tb.upf
Er 167.26 Er.upf
Sc 44.96 Sc.upf
CELL_PARAMETERS angstrom
8.6300 0.0000 0.0000
0.0000 3.4397 0.0000
-3.6290 0.0000 10.5914
ATOMIC_POSITIONS crystal
Tb 0.1332 0.0000 0.4072
Tb 0.8668 0.0000 0.5928
Er 0.2426 0.5000 0.7200
Er 0.2546 0.5000 0.1524
Er 0.7454 0.5000 0.8476
Er 0.7574 0.5000 0.2800
Sc 0.0889 0.0000 0.8977
Sc 0.4963 0.0000 0.6301
Sc 0.5000 0.0000 0.0000
Sc 0.5037 0.0000 0.3699
Sc 0.9111 0.0000 0.1023
! - VASP energy: -57.76 eV per formula unit
! - ΔE_f: 1.4 eV/f.u.
! - Energy above the most stable polymorph in this dataset: 0.000 eV per formula unit
! - Space group: P2/m